[1]
Entry from the Alexandria database: a relaxed YPuPa2C4 crystal (PBE-GGA).

Lattice parameters (Å, degrees): 7.209 7.209 10.169 90.00 90.00 90.00
Space group Imma (No. 74)
Asymmetric unit:
Y 0.250 0.250 0.250 x4
Pu 0.000 0.000 0.000 x4
Pa 0.000 0.000 0.500 x4
Pa 0.250 0.250 0.750 x4
C 0.000 0.015 0.747 x8
C 0.240 0.250 0.506 x8

The size of the total moment is 4.8 μB per formula unit. Its density of states at the Fermi level is 1.36 states/eV/atom. The final energy comes out at -9.8664 eV/atom. For the formation energy from the elements, the calculation gives -281 meV per atom.

=====

[2]
Entry from the Alexandria database: a relaxed PuZr2PaC4 crystal (PBE-GGA).

Lattice parameters (Å, degrees): 5.935 3.444 6.065 90.00 109.11 90.00
Space group P2/m (No. 10)
Asymmetric unit:
Pu 0.000 0.000 0.000 x1
Zr 0.000 0.500 0.500 x1
Zr 0.500 0.000 0.500 x1
Pa 0.500 0.500 0.000 x1
C 0.248 0.000 0.740 x2
C 0.251 0.500 0.258 x2

The size of the total moment is 4.1 μB per formula unit. Its density of states at the Fermi level is 1.00 states/eV/atom. The final energy comes out at -10.2048 eV/atom. For the formation energy from the elements, the calculation gives -477 meV per atom.

=====

[3]
Entry from the Alexandria database: a relaxed PaRe2C2 crystal (PBE-GGA).

Lattice parameters (Å, degrees): 6.846 8.862 9.356 90.00 90.00 90.00
Space group Fddd (No. 70, origin choice 2)
Asymmetric unit:
Pa 0.125 0.125 0.125 x8
Re 0.125 0.125 0.481 x16
C 0.125 0.318 0.625 x16

The size of the total moment is 0.0 μB per formula unit. Its density of states at the Fermi level is 0.71 states/eV/atom. The final energy comes out at -10.5346 eV/atom. For the formation energy from the elements, the calculation gives 33 meV per atom.

=====

[4]
Entry from the Alexandria database: a relaxed PaReC crystal (PBE-GGA).

Lattice parameters (Å, degrees): 11.264 3.174 5.596 90.00 90.00 90.00
Space group Pnma (No. 62)
Asymmetric unit:
Pa 0.149 0.250 0.076 x4
Re 0.085 0.750 0.600 x4
C 0.007 0.750 0.249 x4

The size of the total moment is 0.0 μB per formula unit. Its density of states at the Fermi level is 0.75 states/eV/atom. The final energy comes out at -10.4563 eV/atom. Its excess energy over the best structure of this formula in the dataset is 0.00 eV per formula unit. For the formation energy from the elements, the calculation gives -67 meV per atom.

=====

[5]
Entry from the Alexandria database: a relaxed PaReC crystal (PBE-GGA).

Lattice parameters (Å, degrees): 3.5019 3.5019 4.6220 90.00 90.00 120.00
Space group P3m1 (No. 156)
Asymmetric unit:
Pa 0.0000 0.0000 0.0000 x1
Re 0.6667 0.3333 0.5012 x1
C 0.3333 0.6667 0.5029 x1

The size of the total moment is 0.0 μB per formula unit. Its density of states at the Fermi level is 1.02 states/eV/atom. The final energy comes out at -10.2108 eV/atom. Its excess energy over the best structure of this formula in the dataset is 0.74 eV per formula unit. For the formation energy from the elements, the calculation gives 179 meV per atom.

=====

[6]
Entry from the Alexandria database: a relaxed PaReC crystal (PBE-GGA).

Lattice parameters (Å, degrees): 2.941 2.941 10.230 90.00 90.00 90.00
Space group I4mm (No. 107)
Asymmetric unit:
Pa 0.000 0.000 0.000 x2
Re 0.000 0.000 0.278 x2
C 0.000 0.000 0.702 x2

The size of the total moment is 0.0 μB per formula unit. Its density of states at the Fermi level is 0.95 states/eV/atom. The final energy comes out at -10.0321 eV/atom. Its excess energy over the best structure of this formula in the dataset is 1.27 eV per formula unit. For the formation energy from the elements, the calculation gives 357 meV per atom.

=====

[7]
Entry from the Alexandria database: a relaxed Sc2PaReC4 crystal (PBE-GGA).

Lattice parameters (Å, degrees): 3.337 11.620 11.460 90.00 90.00 90.00
Space group Cmcm (No. 63)
Asymmetric unit:
Sc 0.000 0.127 0.038 x8
Pa 0.000 0.401 0.250 x4
Re 0.000 0.339 0.750 x4
C 0.000 0.058 0.250 x4
C 0.000 0.232 0.625 x8
C 0.000 0.500 0.000 x4

The size of the total moment is 0.0 μB per formula unit. Its density of states at the Fermi level is 0.38 states/eV/atom. The final energy comes out at -9.1322 eV/atom. For the formation energy from the elements, the calculation gives -194 meV per atom.

=====

[8]
Entry from the Alexandria database: a relaxed PaRe2SiC crystal (PBE-GGA).

Lattice parameters (Å, degrees): 3.875 11.116 7.318 90.00 90.00 90.00
Space group Cmcm (No. 63)
Asymmetric unit:
Pa 0.000 0.045 0.250 x4
Re 0.000 0.329 0.061 x8
Si 0.000 0.236 0.750 x4
C 0.000 0.500 0.000 x4

The size of the total moment is 0.0 μB per formula unit. Its density of states at the Fermi level is 0.95 states/eV/atom. The final energy comes out at -10.2022 eV/atom. For the formation energy without anion corrections, the calculation gives -394.4 meV/atom.

=====

[9]
Entry from the Alexandria database: a relaxed Pa2ReSiC crystal (PBE-GGA).

Lattice parameters (Å, degrees): 6.811 3.746 8.171 90.00 113.59 90.00
Space group P2_1/m (No. 11)
Asymmetric unit:
Pa 0.187 0.250 0.405 x2
Pa 0.237 0.750 0.015 x2
Re 0.226 0.250 0.736 x2
Si 0.454 0.750 0.716 x2
C 0.031 0.750 0.184 x2

The size of the total moment is 0.0 μB per formula unit. Its density of states at the Fermi level is 0.75 states/eV/atom. The final energy comes out at -9.5223 eV/atom. For the formation energy without anion corrections, the calculation gives -304.9 meV/atom.

=====

[10]
Entry from the Alexandria database: a relaxed SmPa2ReC4 crystal (PBE-GGA).

Lattice parameters (Å, degrees): 3.624 11.928 11.988 90.00 90.00 90.00
Space group Cmcm (No. 63)
Asymmetric unit:
Sm 0.000 0.119 0.250 x4
Pa 0.000 0.368 0.042 x8
Re 0.000 0.145 0.750 x4
C 0.000 0.000 0.000 x4
C 0.000 0.260 0.627 x8
C 0.000 0.428 0.250 x4

The size of the total moment is 0.0 μB per formula unit. Its density of states at the Fermi level is 0.64 states/eV/atom. The final energy comes out at -9.2879 eV/atom. For the formation energy from the elements, the calculation gives -156 meV per atom.

=====

[11]
Entry from the Alexandria database: a relaxed Sm2PaReC4 crystal (PBE-GGA).

Lattice parameters (Å, degrees): 3.481 11.927 12.598 90.00 90.00 90.00
Space group Cmcm (No. 63)
Asymmetric unit:
Sm 0.000 0.133 0.039 x8
Pa 0.000 0.406 0.250 x4
Re 0.000 0.334 0.750 x4
C 0.000 0.064 0.250 x4
C 0.000 0.226 0.639 x8
C 0.000 0.500 0.000 x4

The size of the total moment is 0.0 μB per formula unit. Its density of states at the Fermi level is 0.50 states/eV/atom. The final energy comes out at -8.4712 eV/atom. For the formation energy from the elements, the calculation gives 64 meV per atom.

=====

[12]
Entry from the Alexandria database: a relaxed PaTa2ReC4 crystal (PBE-GGA).

Lattice parameters (Å, degrees): 3.236 11.469 11.106 90.00 90.00 90.00
Space group Cmcm (No. 63)
Asymmetric unit:
Pa 0.000 0.106 0.250 x4
Ta 0.000 0.373 0.038 x8
Re 0.000 0.156 0.750 x4
C 0.000 0.000 0.000 x4
C 0.000 0.268 0.615 x8
C 0.000 0.450 0.250 x4

The size of the total moment is 0.0 μB per formula unit. Its density of states at the Fermi level is 0.47 states/eV/atom. The final energy comes out at -10.5701 eV/atom. For the formation energy from the elements, the calculation gives -252 meV per atom.

=====

[13]
Entry from the Alexandria database: a relaxed Th2PaReC4 crystal (PBE-GGA).

Lattice parameters (Å, degrees): 3.538 11.971 12.706 90.00 90.00 90.00
Space group Cmcm (No. 63)
Asymmetric unit:
Th 0.000 0.136 0.041 x8
Pa 0.000 0.398 0.250 x4
Re 0.000 0.341 0.750 x4
C 0.000 0.062 0.250 x4
C 0.000 0.223 0.641 x8
C 0.000 0.500 0.000 x4

The size of the total moment is 0.0 μB per formula unit. Its density of states at the Fermi level is 1.00 states/eV/atom. The final energy comes out at -9.2091 eV/atom. For the formation energy from the elements, the calculation gives 1 meV per atom.

=====

[14]
Entry from the Alexandria database: a relaxed ThPa2ReC4 crystal (PBE-GGA).

Lattice parameters (Å, degrees): 3.592 11.985 12.028 90.00 90.00 90.00
Space group Cmcm (No. 63)
Asymmetric unit:
Th 0.000 0.110 0.250 x4
Pa 0.000 0.367 0.044 x8
Re 0.000 0.150 0.750 x4
C 0.000 0.000 0.000 x4
C 0.000 0.265 0.627 x8
C 0.000 0.437 0.250 x4

The size of the total moment is 0.0 μB per formula unit. Its density of states at the Fermi level is 0.84 states/eV/atom. The final energy comes out at -9.6768 eV/atom. For the formation energy from the elements, the calculation gives -207 meV per atom.

=====

[15]
Entry from the Alexandria database: a relaxed Tm2PaReC4 crystal (PBE-GGA).

Lattice parameters (Å, degrees): 3.428 11.784 12.012 90.00 90.00 90.00
Space group Cmcm (No. 63)
Asymmetric unit:
Tm 0.000 0.130 0.040 x8
Pa 0.000 0.404 0.250 x4
Re 0.000 0.337 0.750 x4
C 0.000 0.061 0.250 x4
C 0.000 0.230 0.632 x8
C 0.000 0.500 0.000 x4

The size of the total moment is 0.0 μB per formula unit. Its density of states at the Fermi level is 0.46 states/eV/atom. The final energy comes out at -8.5918 eV/atom. For the formation energy from the elements, the calculation gives -119 meV per atom.

=====

[16]
Entry from the Alexandria database: a relaxed UPa2ReC4 crystal (PBE-GGA).

Lattice parameters (Å, degrees): 3.365 11.913 11.973 90.00 90.00 90.00
Space group Cmcm (No. 63)
Asymmetric unit:
U 0.000 0.112 0.250 x4
Pa 0.000 0.366 0.049 x8
Re 0.000 0.149 0.750 x4
C 0.000 0.000 0.000 x4
C 0.000 0.281 0.635 x8
C 0.000 0.462 0.250 x4

The size of the total moment is 0.0 μB per formula unit. Its density of states at the Fermi level is 0.57 states/eV/atom. The final energy comes out at -10.0522 eV/atom. For the formation energy from the elements, the calculation gives -99 meV per atom.

=====

[17]
Entry from the Alexandria database: a relaxed YPa2ReC4 crystal (PBE-GGA).

Lattice parameters (Å, degrees): 3.598 11.843 11.950 90.00 90.00 90.00
Space group Cmcm (No. 63)
Asymmetric unit:
Y 0.000 0.123 0.250 x4
Pa 0.000 0.368 0.042 x8
Re 0.000 0.142 0.750 x4
C 0.000 0.000 0.000 x4
C 0.000 0.262 0.629 x8
C 0.000 0.434 0.250 x4

The size of the total moment is 0.0 μB per formula unit. Its density of states at the Fermi level is 0.60 states/eV/atom. The final energy comes out at -9.4966 eV/atom. For the formation energy from the elements, the calculation gives -147 meV per atom.

=====

[18]
Entry from the Alexandria database: a relaxed Zr2PaReC4 crystal (PBE-GGA).

Lattice parameters (Å, degrees): 3.342 11.669 11.462 90.00 90.00 90.00
Space group Cmcm (No. 63)
Asymmetric unit:
Zr 0.000 0.130 0.039 x8
Pa 0.000 0.390 0.250 x4
Re 0.000 0.349 0.750 x4
C 0.000 0.049 0.250 x4
C 0.000 0.234 0.624 x8
C 0.000 0.500 0.000 x4

The size of the total moment is 0.0 μB per formula unit. Its density of states at the Fermi level is 0.48 states/eV/atom. The final energy comes out at -9.8305 eV/atom. For the formation energy from the elements, the calculation gives -339 meV per atom.

=====

[19]
Entry from the Alexandria database: a relaxed PaRhC crystal (PBE-GGA).

Lattice parameters (Å, degrees): 3.547 9.269 5.424 90.00 90.00 90.00
Space group Cmcm (No. 63)
Asymmetric unit:
Pa 0.000 0.195 0.250 x4
Rh 0.000 0.500 0.000 x4
C 0.000 0.118 0.750 x4

The size of the total moment is 0.0 μB per formula unit. Its density of states at the Fermi level is 0.65 states/eV/atom. The final energy comes out at -8.7952 eV/atom. For the formation energy from the elements, the calculation gives -105 meV per atom.

=====

[20]
Entry from the Alexandria database: a relaxed Pa2RhC crystal (PBE-GGA).

Lattice parameters (Å, degrees): 3.5394 3.5394 20.7082 90.00 90.00 120.00
Space group R-3m (No. 166, hexagonal axes)
Asymmetric unit:
Pa 0.0000 0.0000 0.2363 x6
Rh 0.0000 0.0000 0.0000 x3
C 0.0000 0.0000 0.5000 x3

The size of the total moment is 0.0 μB per formula unit. Its density of states at the Fermi level is 1.45 states/eV/atom. The final energy comes out at -9.3720 eV/atom. Its excess energy over the best structure of this formula in the dataset is 0.00 eV per formula unit. For the formation energy from the elements, the calculation gives -480 meV per atom.